Density functional theory data (GGA-PBE) for a relaxed Mn3CdTc crystal.

Cell: 4.661 4.661 4.661 Å, 90.00 90.00 90.00°
Space group Pm-3m (No. 221)
Inequivalent atoms, fractional coordinates:
Mn 0.000 0.000 0.500
Cd 0.500 0.500 0.500
Tc 0.000 0.000 0.000

Output
crystal system = cubic
total energy = -6.651 eV/atom